A plane-wave DFT calculation with GGA+U was carried out for an optimized crystal structure of Rb2GaCoO4.

Values from the calculation:
Total DFT energy (no corrections), eV/atom: -5.123

```
data_Rb2GaCoO4
_symmetry_space_group_name_H-M 'F d d d'
_symmetry_Int_Tables_number 70
_cell_length_a 5.0933
_cell_length_b 12.2414
_cell_length_c 20.7515
_cell_angle_alpha 90.00
_cell_angle_beta 90.00
_cell_angle_gamma 90.00
loop_
_symmetry_equiv_pos_as_xyz
'x,y,z'
'-x,-y,-z'
'-x+1/4,-y+1/4,z'
'x+1/4,y+1/4,-z'
'x,-y+1/4,-z+1/4'
'-x,y+1/4,z+1/4'
'-x+1/4,y,-z+1/4'
'x+1/4,-y,z+1/4'
'x,y+1/2,z+1/2'
'-x,-y+1/2,-z+1/2'
'-x+1/4,-y+3/4,z+1/2'
'x+1/4,y+3/4,-z+1/2'
'x,-y+3/4,-z+3/4'
'-x,y+3/4,z+3/4'
'-x+1/4,y+1/2,-z+3/4'
'x+1/4,-y+1/2,z+3/4'
'x+1/2,y,z+1/2'
'-x+1/2,-y,-z+1/2'
'-x+3/4,-y+1/4,z+1/2'
'x+3/4,y+1/4,-z+1/2'
'x+1/2,-y+1/4,-z+3/4'
'-x+1/2,y+1/4,z+3/4'
'-x+3/4,y,-z+3/4'
'x+3/4,-y,z+3/4'
'x+1/2,y+1/2,z'
'-x+1/2,-y+1/2,-z'
'-x+3/4,-y+3/4,z'
'x+3/4,y+3/4,-z'
'x+1/2,-y+3/4,-z+1/4'
'-x+1/2,y+3/4,z+1/4'
'-x+3/4,y+1/2,-z+1/4'
'x+3/4,-y+1/2,z+1/4'
loop_
_atom_site_label
_atom_site_type_symbol
_atom_site_fract_x
_atom_site_fract_y
_atom_site_fract_z
Rb1 Rb 0.1250 0.1250 0.3005
Ga1 Ga 0.1250 0.1250 0.1250
Co1 Co 0.1250 0.1250 0.6250
O1 O 0.1233 0.2888 0.4190
```